# InAs4Pb PBE optimized geometry
data_InAs4Pb
_chemical_formula_sum 'In1 As4 Pb1'
_symmetry_space_group_name_H-M 'P 1'
_symmetry_Int_Tables_number 1
_cell_length_a 5.862
_cell_length_b 5.862
_cell_length_c 5.862
_cell_angle_alpha 60.00
_cell_angle_beta 60.00
_cell_angle_gamma 60.00
loop_
_symmetry_equiv_pos_as_xyz
'x,y,z'
loop_
_atom_site_label
_atom_site_type_symbol
_atom_site_fract_x
_atom_site_fract_y
_atom_site_fract_z
_atom_site_occupancy
In1 In 0.000 0.000 0.000 1
As1 As 0.367 0.367 0.367 1
As2 As 0.367 0.367 0.899 1
As3 As 0.367 0.899 0.367 1
As4 As 0.899 0.367 0.367 1
Pb1 Pb 0.750 0.750 0.750 1
# Formation enthalpy at 0 K = 1.5 eV per formula unit
# DOS at the Fermi energy = 0.6733 states/eV/atom
# Symmetry = F-43m (216)
# Density = 7.25 Mg/m³


# KHgAu10 PBE optimized geometry
data_KHgAu10
_chemical_formula_sum 'K1 Hg1 Au10'
_symmetry_space_group_name_H-M 'P 1'
_symmetry_Int_Tables_number 1
_cell_length_a 4.640
_cell_length_b 5.674
_cell_length_c 9.830
_cell_angle_alpha 90.00
_cell_angle_beta 90.00
_cell_angle_gamma 90.00
loop_
_symmetry_equiv_pos_as_xyz
'x,y,z'
loop_
_atom_site_label
_atom_site_type_symbol
_atom_site_fract_x
_atom_site_fract_y
_atom_site_fract_z
_atom_site_occupancy
K1 K 0.000 0.000 0.000 1
Hg1 Hg 0.000 0.500 0.500 1
Au1 Au 0.000 0.000 0.340 1
Au2 Au 0.000 0.000 0.660 1
Au3 Au 0.000 0.500 0.182 1
Au4 Au 0.000 0.500 0.818 1
Au5 Au 0.500 0.000 0.500 1
Au6 Au 0.500 0.247 0.248 1
Au7 Au 0.500 0.247 0.752 1
Au8 Au 0.500 0.500 0.000 1
Au9 Au 0.500 0.753 0.248 1
Au10 Au 0.500 0.753 0.752 1
# Formation enthalpy at 0 K = -1.0 eV per formula unit
# DOS at the Fermi energy = 0.2065 states/eV/atom
# Symmetry = Pmmm (47)
# Density = 14.18 Mg/m³


# LiZnCr2 PBE optimized geometry
data_LiZnCr2
_chemical_formula_sum 'Li1 Zn1 Cr2'
_symmetry_space_group_name_H-M 'P 1'
_symmetry_Int_Tables_number 1
_cell_length_a 2.380
_cell_length_b 3.940
_cell_length_c 5.382
_cell_angle_alpha 90.00
_cell_angle_beta 90.00
_cell_angle_gamma 90.00
loop_
_symmetry_equiv_pos_as_xyz
'x,y,z'
loop_
_atom_site_label
_atom_site_type_symbol
_atom_site_fract_x
_atom_site_fract_y
_atom_site_fract_z
_atom_site_occupancy
Li1 Li 0.000 0.000 0.000 1
Zn1 Zn 0.500 0.500 0.225 1
Cr1 Cr 0.000 0.000 0.510 1
Cr2 Cr 0.500 0.500 0.713 1
# Formation enthalpy at 0 K = 1.2 eV per formula unit
# DOS at the Fermi energy = 0.6926 states/eV/atom
# Symmetry = Pmm2 (25)
# Density = 5.80 Mg/m³


# Pr6YAl PBE optimized geometry
data_Pr6YAl
_chemical_formula_sum 'Pr6 Y1 Al1'
_symmetry_space_group_name_H-M 'P 1'
_symmetry_Int_Tables_number 1
_cell_length_a 6.719
_cell_length_b 6.719
_cell_length_c 6.896
_cell_angle_alpha 95.00
_cell_angle_beta 95.00
_cell_angle_gamma 119.13
loop_
_symmetry_equiv_pos_as_xyz
'x,y,z'
loop_
_atom_site_label
_atom_site_type_symbol
_atom_site_fract_x
_atom_site_fract_y
_atom_site_fract_z
_atom_site_occupancy
Pr1 Pr 0.085 0.656 0.738 1
Pr2 Pr 0.250 0.250 0.935 1
Pr3 Pr 0.344 0.915 0.262 1
Pr4 Pr 0.656 0.085 0.738 1
Pr5 Pr 0.750 0.750 0.065 1
Pr6 Pr 0.915 0.344 0.262 1
Y1 Y 0.500 0.500 0.500 1
Al1 Al 0.000 0.000 0.500 1
# Formation enthalpy at 0 K = -0.5 eV per formula unit
# DOS at the Fermi energy = 1.0595 states/eV/atom
# Symmetry = C2/m (12)
# Density = 5.96 Mg/m³


# ScNi2W PBE optimized geometry
data_ScNi2W
_chemical_formula_sum 'Sc1 Ni2 W1'
_symmetry_space_group_name_H-M 'P 1'
_symmetry_Int_Tables_number 1
_cell_length_a 4.314
_cell_length_b 4.314
_cell_length_c 4.314
_cell_angle_alpha 60.00
_cell_angle_beta 60.00
_cell_angle_gamma 60.00
loop_
_symmetry_equiv_pos_as_xyz
'x,y,z'
loop_
_atom_site_label
_atom_site_type_symbol
_atom_site_fract_x
_atom_site_fract_y
_atom_site_fract_z
_atom_site_occupancy
Sc1 Sc 0.000 0.000 0.000 1
Ni1 Ni 0.250 0.250 0.250 1
Ni2 Ni 0.500 0.500 0.500 1
W1 W 0.750 0.750 0.750 1
# Formation enthalpy at 0 K = 0.9 eV per formula unit
# DOS at the Fermi energy = 1.0855 states/eV/atom
# Symmetry = F-43m (216)
# Density = 10.12 Mg/m³


# MnBeSb2 PBE optimized geometry
data_MnBeSb2
_chemical_formula_sum 'Mn1 Be1 Sb2'
_symmetry_space_group_name_H-M 'P 1'
_symmetry_Int_Tables_number 1
_cell_length_a 4.888
_cell_length_b 4.888
_cell_length_c 4.888
_cell_angle_alpha 60.00
_cell_angle_beta 60.00
_cell_angle_gamma 60.00
loop_
_symmetry_equiv_pos_as_xyz
'x,y,z'
loop_
_atom_site_label
_atom_site_type_symbol
_atom_site_fract_x
_atom_site_fract_y
_atom_site_fract_z
_atom_site_occupancy
Mn1 Mn 0.000 0.000 0.000 1
Be1 Be 0.750 0.750 0.750 1
Sb1 Sb 0.250 0.250 0.250 1
Sb2 Sb 0.500 0.500 0.500 1
# DOS at the Fermi energy = 0.6472 states/eV/atom
# Energy relative to the elements, uncorrected = 3.03 eV per formula unit
# Symmetry = F-43m (216)
# Density = 6.18 Mg/m³


# Hf12BeSn6 PBE optimized geometry
data_Hf12BeSn6
_chemical_formula_sum 'Hf12 Be1 Sn6'
_symmetry_space_group_name_H-M 'P 1'
_symmetry_Int_Tables_number 1
_cell_length_a 7.439
_cell_length_b 7.439
_cell_length_c 7.439
_cell_angle_alpha 90.98
_cell_angle_beta 90.98
_cell_angle_gamma 90.98
loop_
_symmetry_equiv_pos_as_xyz
'x,y,z'
loop_
_atom_site_label
_atom_site_type_symbol
_atom_site_fract_x
_atom_site_fract_y
_atom_site_fract_z
_atom_site_occupancy
Hf1 Hf 0.021 0.304 0.941 1
Hf2 Hf 0.059 0.979 0.696 1
Hf3 Hf 0.131 0.360 0.447 1
Hf4 Hf 0.304 0.941 0.021 1
Hf5 Hf 0.360 0.447 0.131 1
Hf6 Hf 0.447 0.131 0.360 1
Hf7 Hf 0.553 0.869 0.640 1
Hf8 Hf 0.640 0.553 0.869 1
Hf9 Hf 0.696 0.059 0.979 1
Hf10 Hf 0.869 0.640 0.553 1
Hf11 Hf 0.941 0.021 0.304 1
Hf12 Hf 0.979 0.696 0.059 1
Be1 Be 0.500 0.500 0.500 1
Sn1 Sn 0.227 0.762 0.378 1
Sn2 Sn 0.238 0.622 0.773 1
Sn3 Sn 0.378 0.227 0.762 1
Sn4 Sn 0.622 0.773 0.238 1
Sn5 Sn 0.762 0.378 0.227 1
Sn6 Sn 0.773 0.238 0.622 1
# Formation enthalpy at 0 K = -2.3 eV per formula unit
# DOS at the Fermi energy = 0.8838 states/eV/atom
# Symmetry = R-3 (148)
# Density = 11.56 Mg/m³


# NdTmGaPt PBE optimized geometry
data_NdTmGaPt
_chemical_formula_sum 'Nd1 Tm1 Ga1 Pt1'
_symmetry_space_group_name_H-M 'P 1'
_symmetry_Int_Tables_number 1
_cell_length_a 5.063
_cell_length_b 5.063
_cell_length_c 5.063
_cell_angle_alpha 60.00
_cell_angle_beta 60.00
_cell_angle_gamma 60.00
loop_
_symmetry_equiv_pos_as_xyz
'x,y,z'
loop_
_atom_site_label
_atom_site_type_symbol
_atom_site_fract_x
_atom_site_fract_y
_atom_site_fract_z
_atom_site_occupancy
Nd1 Nd 0.000 0.000 0.000 1
Tm1 Tm 0.500 0.500 0.500 1
Ga1 Ga 0.250 0.250 0.250 1
Pt1 Pt 0.750 0.750 0.750 1
# Formation enthalpy at 0 K = -3.2 eV per formula unit
# DOS at the Fermi energy = 0.7717 states/eV/atom
# Symmetry = F-43m (216)
# Density = 10.46 Mg/m³